Record 1
5
Lattice="4.3488 0.0000 0.0000 0.0000 4.8839 0.0000 0.0000 0.0000 4.3488" Properties=species:S:1:pos:R:3 comment="PBE-GGA TaVHS2, optimized geometry" rho_g_cm3=5.34 crystal_system=tetragonal dft_energy_ev_per_atom=-5.64 dos_ef_per_ev_fu=3.70 pbc="T T T"
H 2.1744 2.4419 2.1744
S 2.1744 0.0000 0.0000
S 0.0000 0.0000 2.1744
Ta 0.0000 2.4419 0.0000
V 0.0000 0.0000 0.0000

---

Record 2
11
Lattice="-3.2676 2.3104 -0.1733 -4.1585 -5.9922 -1.4771 3.8381 2.6299 8.9866" Properties=species:S:1:pos:R:3 comment="PBE-GGA Tb4H2S5, optimized geometry" rho_g_cm3=5.65 crystal_system=monoclinic dft_energy_ev_per_atom=-5.75 pbc="T T T"
Tb -3.6087 -1.4318 2.6626
Tb -2.5159 0.4714 7.4321
Tb -1.0720 -1.5233 -0.0958
Tb 0.0208 0.3799 4.6737
S -2.7824 -3.8339 1.3513
S -0.9281 -1.1263 2.4845
S -1.6338 1.1552 -0.0866
S -0.8055 2.7820 5.9850
S -2.6598 0.0744 4.8518
H -0.3610 0.0069 6.9007
H -3.2269 -1.0588 0.4356